[1]
# CsPr2CuTe3Se | OQMD | PBE-GGA | relaxed
data_CsPr2CuTe3Se
_chemical_formula_sum 'Cs4 Pr8 Cu4 Te12 Se4'
_cell_length_a 4.481
_cell_length_b 15.819
_cell_length_c 15.508
_cell_angle_alpha 90.00
_cell_angle_beta 90.00
_cell_angle_gamma 90.00
_symmetry_space_group_name_H-M 'C m c m'
_symmetry_Int_Tables_number 63
_symmetry_space_group_name_Hall '-C 2c 2'
loop_
_atom_site_label
_atom_site_type_symbol
_atom_site_fract_x
_atom_site_fract_y
_atom_site_fract_z
Cs1 Cs 0.000 0.093 0.250
Pr1 Pr 0.000 0.365 0.069
Cu1 Cu 0.000 0.161 0.750
Te1 Te 0.000 0.000 0.000
Te2 Te 0.000 0.267 0.616
Se1 Se 0.000 0.419 0.250
# crystal system = orthorhombic



[2]
# CsPrCuTe3 | OQMD | PBE-GGA | relaxed
data_CsPrCuTe3
_chemical_formula_sum 'Cs4 Pr4 Cu4 Te12'
_cell_length_a 4.354
_cell_length_b 17.398
_cell_length_c 11.769
_cell_angle_alpha 90.00
_cell_angle_beta 90.00
_cell_angle_gamma 90.00
_symmetry_space_group_name_H-M 'C m c m'
_symmetry_Int_Tables_number 63
_symmetry_space_group_name_Hall '-C 2c 2'
loop_
_atom_site_label
_atom_site_type_symbol
_atom_site_fract_x
_atom_site_fract_y
_atom_site_fract_z
Cs1 Cs 0.000 0.240 0.250
Pr1 Pr 0.000 0.500 0.000
Cu1 Cu 0.000 0.033 0.750
Te1 Te 0.000 0.123 0.572
Te2 Te 0.000 0.441 0.750
# crystal system = orthorhombic



[3]
# CsPrCuTe3 | OQMD | PBE-GGA | relaxed
data_CsPrCuTe3
_chemical_formula_sum 'Cs2 Pr2 Cu2 Te6'
_cell_length_a 10.596
_cell_length_b 4.427
_cell_length_c 10.827
_cell_angle_alpha 90.00
_cell_angle_beta 112.74
_cell_angle_gamma 90.00
_symmetry_space_group_name_H-M 'P 1 21/m 1'
_symmetry_Int_Tables_number 11
_symmetry_space_group_name_Hall '-P 2yb'
loop_
_atom_site_label
_atom_site_type_symbol
_atom_site_fract_x
_atom_site_fract_y
_atom_site_fract_z
Cs1 Cs 0.213 0.250 0.247
Pr1 Pr 0.323 0.750 0.855
Cu1 Cu 0.089 0.250 0.608
Te1 Te 0.109 0.250 0.856
Te2 Te 0.178 0.750 0.532
Te3 Te 0.472 0.750 0.174
# crystal system = monoclinic



[4]
# Cs2Cu4Pt | OQMD | PBE-GGA | relaxed
data_Cs2Cu4Pt
_chemical_formula_sum 'Cs2 Cu4 Pt1'
_cell_length_a 4.2985
_cell_length_b 4.2985
_cell_length_c 12.1343
_cell_angle_alpha 90.00
_cell_angle_beta 90.00
_cell_angle_gamma 120.00
_symmetry_space_group_name_H-M 'P -3 m 1'
_symmetry_Int_Tables_number 164
_symmetry_space_group_name_Hall '-P 3 2"'
loop_
_atom_site_label
_atom_site_type_symbol
_atom_site_fract_x
_atom_site_fract_y
_atom_site_fract_z
Cs1 Cs 0.3333 0.6667 0.2535
Cu1 Cu 0.3333 0.6667 0.5197
Cu2 Cu 0.3333 0.6667 0.9896
Pt1 Pt 0.0000 0.0000 0.5000
# crystal system = trigonal



[5]
# CsCuPt | OQMD | PBE-GGA | relaxed
data_CsCuPt
_chemical_formula_sum 'Cs4 Cu4 Pt4'
_cell_length_a 6.859
_cell_length_b 6.859
_cell_length_c 6.859
_cell_angle_alpha 90.00
_cell_angle_beta 90.00
_cell_angle_gamma 90.00
_symmetry_space_group_name_H-M 'F -4 3 m'
_symmetry_Int_Tables_number 216
_symmetry_space_group_name_Hall 'F -4 2 3'
loop_
_atom_site_label
_atom_site_type_symbol
_atom_site_fract_x
_atom_site_fract_y
_atom_site_fract_z
Cs1 Cs 0.000 0.000 0.000
Cu1 Cu 0.250 0.250 0.250
Pt1 Pt 0.000 0.000 0.500
# crystal system = cubic



[6]
# CsCuPtSe2S | OQMD | PBE-GGA | relaxed
data_CsCuPtSe2S
_chemical_formula_sum 'Cs4 Cu4 Pt4 Se8 S4'
_cell_length_a 3.860
_cell_length_b 15.328
_cell_length_c 10.320
_cell_angle_alpha 90.00
_cell_angle_beta 90.00
_cell_angle_gamma 90.00
_symmetry_space_group_name_H-M 'C m c m'
_symmetry_Int_Tables_number 63
_symmetry_space_group_name_Hall '-C 2c 2'
loop_
_atom_site_label
_atom_site_type_symbol
_atom_site_fract_x
_atom_site_fract_y
_atom_site_fract_z
Cs1 Cs 0.000 0.244 0.250
Cu1 Cu 0.000 0.037 0.750
Pt1 Pt 0.000 0.500 0.000
Se1 Se 0.000 0.105 0.536
S1 S 0.000 0.459 0.750
# crystal system = orthorhombic



| no. | total DFT energy (no corrections) (eV/atom) |
| --- | --- |
| 1 | -4.632 |
| 2 | -4.054 |
| 3 | -4.056 |
| 4 | -3.012 |
| 5 | -2.768 |
| 6 | -4.080 |